Below is crystalline NdSm3Tm3Te8 at its relaxed geometry, with properties calculated at the PBE level.

Geometry as CIF:
```
data_NdSm3Tm3Te8
_chemical_formula_sum 'Nd3 Sm9 Tm9 Te24'
_space_group_name_H-M_alt 'R -3 m'
_space_group_IT_number 166
_space_group_name_Hall '-R 3 2"'
_cell_length_a 8.7239
_cell_length_b 8.7239
_cell_length_c 21.3846
_cell_angle_alpha 90.00
_cell_angle_beta 90.00
_cell_angle_gamma 120.00
loop_
_atom_site_label
_atom_site_type_symbol
_atom_site_fract_x
_atom_site_fract_y
_atom_site_fract_z
_atom_site_occupancy
Nd1 Nd 0.0000 0.0000 0.0000 1
Sm1 Sm 0.0000 0.5000 0.5000 1
Tm1 Tm 0.0000 0.5000 0.0000 1
Te1 Te 0.0000 0.0000 0.2539 1
Te2 Te 0.0192 0.5096 0.2491 1
```

Values from the calculation:
Crystal system: trigonal
Raw formation energy in eV per atom: -1.370